Record 1
Tb5Y8Tm | PBE | optimized geometry

```
Tb5Y8Tm
1.0
1.8180 -1.5412 8.1054
-7.1835 4.4463 -0.0800
-0.8798 -7.2136 -4.3091
Y Tb Tm
8 5 1
Direct
0.1676 0.4281 0.0904 Y
0.6653 0.2709 0.7480 Y
0.9228 0.8324 0.2606 Y
0.5229 0.9173 0.2520 Y
0.3377 0.0772 0.9096 Y
0.7291 0.4771 0.3943 Y
0.0827 0.3347 0.6057 Y
0.5719 0.6623 0.7394 Y
0.8631 0.9667 0.6782 Tb
0.0333 0.7115 0.8964 Tb
0.8151 0.1369 0.1036 Tb
0.2885 0.1849 0.3218 Tb
0.5000 0.5000 0.0000 Tb
0.2500 0.7500 0.5000 Tm
```

Results
Calculated formation energy, meV/atom: 250
Calculated volume, Å³ per atom: 33.10
Symmetry: I-4, No. 82


Record 2
Co2IrCl | PBE | optimized geometry

```
Co2IrCl
1.0
5.0979 0.0975 0.1750
4.3059 2.7309 0.1750
0.1109 0.0334 4.0992
Cl Co Ir
1 2 1
Direct
0.2604 0.2604 0.2250 Cl
0.7266 0.7266 0.6965 Co
0.0451 0.0451 0.0247 Co
0.4678 0.4678 0.5538 Ir
```

Results
Calculated volume, Å³ per atom: 13.82
Formation energy without anion corrections, eV per atom: 0.5237
Energy relative to the lowest polymorph listed for this composition, kJ per mole of atoms: 25.28
Symmetry: Cm, No. 8


Record 3
Th2Ga3Ru5 | PBE | optimized geometry

```
Th2Ga3Ru5
1.0
-2.7421 -5.1171 -0.3019
-1.1964 -3.1217 7.8094
-8.3938 1.1603 0.6015
Ga Ru Th
6 10 4
Direct
0.6199 0.5138 0.2465 Ga
0.2500 0.0000 0.0000 Ga
0.7500 0.0000 0.0000 Ga
0.3801 0.4862 0.7535 Ga
0.8801 0.7535 0.4862 Ga
0.1199 0.2465 0.5138 Ga
0.1306 0.0085 0.7304 Ru
0.3694 0.2696 0.9915 Ru
0.8694 0.9915 0.2696 Ru
0.9986 0.2514 0.2514 Ru
0.5014 0.7486 0.7486 Ru
0.6306 0.7304 0.0085 Ru
0.7500 0.5000 0.5000 Ru
0.0014 0.7486 0.7486 Ru
0.4986 0.2514 0.2514 Ru
0.2500 0.5000 0.5000 Ru
0.1255 0.6331 0.1158 Th
0.6255 0.1158 0.6331 Th
0.8745 0.3669 0.8842 Th
0.3745 0.8842 0.3669 Th
```

Results
Calculated formation energy, meV/atom: -342
Calculated volume, Å³ per atom: 18.50
Symmetry: Ibam, No. 72


Record 4
Pa3Te5Cl | PBE | optimized geometry

```
Pa3Te5Cl
1.0
-4.1434 -6.9080 1.6441
0.9351 -4.4130 -6.8733
7.4552 -6.8519 2.4380
Te Pa Cl
10 6 2
Direct
0.0013 0.3791 0.3744 Te
0.2461 0.2461 0.9239 Te
0.6209 0.9987 0.6256 Te
0.5110 0.5110 0.6657 Te
0.7032 0.2968 0.0000 Te
0.4890 0.4890 0.3343 Te
0.2968 0.7032 0.0000 Te
0.3791 0.0013 0.3744 Te
0.7539 0.7539 0.0761 Te
0.9987 0.6209 0.6256 Te
0.6608 0.6608 0.8363 Pa
0.0000 0.0000 0.0000 Pa
0.7107 0.7107 0.4168 Pa
0.2893 0.2893 0.5832 Pa
0.3392 0.3392 0.1637 Pa
0.0000 0.0000 0.5000 Pa
0.0596 0.0596 0.7247 Cl
0.9404 0.9404 0.2753 Cl
```

Results
Calculated volume, Å³ per atom: 36.28
Formation energy without anion corrections, eV per atom: -0.7549
Symmetry: C2/m, No. 12


- Among the records above, which one has the lowest calculated volume?
  Co2IrCl